[1]
# Li6Rh2Pb

A relaxed Li6Rh2Pb crystal (PBE, the Alexandria database).

## Properties
Energy of formation from the pure elements   -17 kJ per mole of atoms
Total energy   -3.502 eV/atom

Cell: 5.1675 5.1675 5.1822 Å, 95.52 95.52 95.72°
Fractional positions:
Li1 0.1754 0.8246 0.0000
Li2 0.1759 0.5003 0.3239
Li3 0.5003 0.1759 0.3239
Li4 0.4997 0.8241 0.6761
Li5 0.8241 0.4997 0.6761
Li6 0.8246 0.1754 0.0000
Rh1 0.3403 0.3403 0.8408
Rh2 0.6597 0.6597 0.1592
Pb1 0.0000 0.0000 0.5000


[2]
# PmDy3Er2

A relaxed PmDy3Er2 crystal (PBE, the Alexandria database).

## Properties
Energy of formation from the pure elements   0 kJ per mole of atoms
Total energy   -4.618 eV/atom

Cell: 7.1446 7.1499 8.8070 Å, 78.25 78.27 60.08°
Fractional positions:
Pm1 0.2497 0.2503 0.0008
Pm2 0.7503 0.7497 0.9992
Dy1 0.1391 0.1391 0.6649
Dy2 0.2505 0.7496 0.9995
Dy3 0.3607 0.8605 0.3359
Dy4 0.6393 0.1395 0.6641
Dy5 0.7495 0.2504 0.0005
Dy6 0.8609 0.8609 0.3351
Er1 0.1398 0.6387 0.6643
Er2 0.3606 0.3617 0.3349
Er3 0.6394 0.6383 0.6651
Er4 0.8602 0.3613 0.3357


How do the records compare in distance to the lowest polymorph of the same formula? In the order shown, they have 0, 0 meV per atom.